A plane-wave DFT calculation with PBE was carried out for crystalline LiTiAsO5 at its relaxed geometry.

a = 7.6528 Å, b = 6.6615 Å, c = 7.5856 Å
α = 90.00°, β = 90.00°, γ = 90.00°
Closest atoms and distances in Å follow each position.
Space group Pnma (No. 62)
Unique sites:
1 Li 0.0000 0.0000 0.0000 (multiplicity 4)  6 O 2.06-2.26
2 Ti 0.1661 0.2500 0.2772 (multiplicity 4)  2 O 1.72-1.92
3 As 0.1266 0.7500 0.3726 (multiplicity 4)  4 O 1.71-1.73
4 O 0.0638 0.2500 0.5084 (multiplicity 4)  1 As 1.71
5 O 0.1165 0.7500 0.8370 (multiplicity 4)  1 Ti 1.72
6 O 0.1258 0.5451 0.2370 (multiplicity 8)  1 As 1.71
7 O 0.1885 0.2500 0.0030 (multiplicity 4)  1 As 1.73

The value obtained for the total magnetization is 0.000 μB per cell. The value obtained for the energy above the most stable polymorph in this dataset is 0 meV/atom. As for the volume: 387 Å³ per cell.